No. 1
## MnZn2Os (PBE-GGA)

Data for a relaxed structure of MnZn2Os.

Output
The density of states at the Fermi level comes out at 2.4 states/eV per cell. As for the formation energy: 39 kJ/mol of formula units. The total moment is 3.580 μB/f.u. The calculation puts the energy relative to the lowest polymorph listed for this composition at 68 meV per atom.

a b c (Å): 3.3447 4.0959 8.1010
angles (deg): 90.00 90.00 90.00
Space group Immm (No. 71)
Asymmetric unit:
Mn: 0.0000 0.0000 0.0000 x2
Zn: 0.0000 0.5000 0.2532 x4
Os: 0.0000 0.0000 0.5000 x2

=====

No. 2
## Eu2HgIr (PBE-GGA)

Data for a relaxed structure of Eu2HgIr.

Output
The density of states at the Fermi level comes out at 39.2 states/eV per cell. As for the formation energy: -56 kJ/mol of formula units. The total moment is 14.235 μB/f.u. The calculation puts the energy relative to the lowest polymorph listed for this composition at 265 meV per atom.

a b c (Å): 4.1319 4.1319 29.4868
angles (deg): 90.00 90.00 120.00
Space group R-3m (No. 166, hexagonal axes)
Asymmetric unit:
Eu: 0.0000 0.0000 0.1140 x6
Hg: 0.0000 0.0000 0.0000 x3
Ir: 0.0000 0.0000 0.5000 x3

=====

No. 3
## KHgAsSe2 (PBE-GGA)

Data for a relaxed structure of KHgAsSe2.

Output
The density of states at the Fermi level comes out at 4.7 states/eV per cell. The total moment is 1.142 μB/f.u. Its raw formation energy is 0.1736 eV per atom. The calculation puts the energy relative to the lowest polymorph listed for this composition at 0 meV per atom.

a b c (Å): 5.4783 5.4783 5.2374
angles (deg): 90.00 90.00 90.00
Space group P4/mmm (No. 123)
Asymmetric unit:
K: 0.0000 0.0000 0.0000 x1
Hg: 0.5000 0.5000 0.5000 x1
As: 0.5000 0.5000 0.0000 x1
Se: 0.0000 0.5000 0.5000 x2

=====

No. 4
## CsSr2NpCl8 (PBE-GGA)

Data for a relaxed structure of CsSr2NpCl8.

Output
The density of states at the Fermi level comes out at 5.1 states/eV per cell. The total moment is 4.000 μB/f.u. Its raw formation energy is -2.1118 eV per atom.

a b c (Å): 6.7858 9.3164 6.8194
angles (deg): 90.00 90.33 90.00
Space group P2/m (No. 10)
Asymmetric unit:
Cs: 0.0000 0.0000 0.0000 x1
Sr: 0.5000 0.2493 0.5000 x2
Np: 0.0000 0.5000 0.0000 x1
Cl: 0.1603 0.2973 0.2420 x4
Cl: 0.3221 0.5000 0.7380 x2
Cl: 0.4018 0.0000 0.7296 x2

=====

No. 5
## BeV2Tc (PBE-GGA)

Data for a relaxed structure of BeV2Tc.

Output
The density of states at the Fermi level comes out at 3.1 states/eV per cell. As for the formation energy: -63 kJ/mol of formula units. The total moment is 0.613 μB/f.u.

a b c (Å): 3.0325 3.0325 5.4376
angles (deg): 90.00 90.00 90.00
Space group P4/mmm (No. 123)
Asymmetric unit:
Be: 0.0000 0.0000 0.0000 x1
V: 0.5000 0.5000 0.2301 x2
Tc: 0.0000 0.0000 0.5000 x1

=====

No. 6
## Pm2SmTl (PBE-GGA)

Data for a relaxed structure of Pm2SmTl.

Output
The density of states at the Fermi level comes out at 22.3 states/eV per cell. As for the formation energy: -20 kJ/mol of formula units. The total moment is 1.472 μB/f.u. The calculation puts the energy relative to the lowest polymorph listed for this composition at 148 meV per atom.

a b c (Å): 7.9034 7.9034 7.9034
angles (deg): 90.00 90.00 90.00
Space group Fm-3m (No. 225)
Asymmetric unit:
Pm: 0.2500 0.2500 0.2500 x8
Sm: 0.0000 0.0000 0.0000 x4
Tl: 0.0000 0.0000 0.5000 x4